(1)
The following is a DFT calculation (PBE-GGA) of a relaxed structure of BaInAs2.

Results
For the spin magnetization, the calculation gives 0.00 μB/atom. The calculation puts the calculated formation energy at -0.50 eV/atom. The calculation puts the energy at -15.94 eV per formula unit.

Geometry as POSCAR:
```
BaInAs2
1.0
3.907 -2.686 0.000
3.907 2.686 0.000
-3.552 0.000 5.656
Ba In As
1 1 2
direct
0.000 0.000 0.000
0.500 0.500 0.500
0.186 0.186 0.656
0.814 0.814 0.344
```

(2)
The following is a DFT calculation (PBE-GGA) of a relaxed structure of CsSc2Se2.

Results
For the spin magnetization, the calculation gives 0.00 μB/atom. The calculation puts the energy at -26.32 eV per formula unit.

Geometry as POSCAR:
```
CsSc2Se2
1.0
-2.259 2.259 7.570
2.259 -2.259 7.570
2.259 2.259 -7.570
Cs Sc Se
1 2 2
direct
0.000 0.000 0.000
0.250 0.750 0.500
0.750 0.250 0.500
0.347 0.347 0.000
0.653 0.653 0.000
```

(3)
The following is a DFT calculation (PBE-GGA) of a relaxed structure of PaZnHg.

Results
For the spin magnetization, the calculation gives 0.20 μB/atom. The calculation puts the calculated formation energy at -0.01 eV/atom. The calculation puts the energy at -11.09 eV per formula unit.

Geometry as POSCAR:
```
PaZnHg
1.0
4.860 0.000 0.000
-2.430 4.209 0.000
0.000 0.000 3.166
Pa Zn Hg
1 1 1
direct
0.000 0.000 0.000
0.333 0.667 0.500
0.667 0.333 0.500
```